(1)
This record from Alexandria via LeMat-Bulk describes Sr2FeRu after structural relaxation. The functional is PBE.

E above lowest polymorph: 0.617 eV/atom
Magnetic moment: 0.839 μB per atom
Space group: Cmmm
Formation enthalpy at 0 K: 317 kJ/mol of formula units

Cell and atoms, written as POSCAR:
```
Sr2FeRu
1.0
5.1364 0.0664 -0.0207
-0.9916 5.0402 -0.0207
0.0156 0.0192 3.8252
Fe Ru Sr
1 1 2
direct
0.5000 0.0000 0.5000
0.0000 0.5000 0.5000
0.0000 0.0000 0.0000
0.5000 0.5000 0.0000
```



(2)
This record from Alexandria via LeMat-Bulk describes Sr2FeRu after structural relaxation. The functional is PBE.

E above lowest polymorph: 0.201 eV/atom
Magnetic moment: 0.899 μB per atom
Space group: Imm2
Formation enthalpy at 0 K: 156 kJ/mol of formula units

Cell and atoms, written as POSCAR:
```
Sr2FeRu
1.0
6.4708 0.2882 0.0099
3.1820 5.6418 -0.0099
-4.3940 -3.6689 3.0310
Fe Ru Sr
1 1 2
direct
0.4345 0.4345 0.0000
0.3109 0.8109 0.5000
0.0154 0.0154 0.0000
0.7392 0.2392 0.5000
```



(3)
This record from Alexandria via LeMat-Bulk describes SrFeRu2 after structural relaxation. The functional is PBE.

E above lowest polymorph: 0.353 eV/atom
Magnetic moment: 0.765 μB per atom
Space group: Immm
Formation enthalpy at 0 K: 255 kJ/mol of formula units

Cell and atoms, written as POSCAR:
```
SrFeRu2
1.0
5.5863 -0.1319 -0.0286
2.7591 4.8592 0.0286
-3.4821 -3.5827 2.5028
Fe Ru Sr
1 2 1
direct
0.2500 0.7500 0.5000
0.0362 0.0362 0.0000
0.4638 0.4638 0.0000
0.7500 0.2500 0.5000
```



(4)
This record from Alexandria via LeMat-Bulk describes SrFeRu2 after structural relaxation. The functional is PBE.

E above lowest polymorph: 0.524 eV/atom
Magnetic moment: 1.259 μB per atom
Space group: Fm-3m
Formation enthalpy at 0 K: 321 kJ/mol of formula units

Cell and atoms, written as POSCAR:
```
SrFeRu2
1.0
-2.4445 -3.5820 -1.5772
-4.4067 -0.5225 1.2658
-3.3785 0.6841 -3.0679
Ru Fe Sr
2 1 1
direct
0.2500 0.2500 0.2500
0.7500 0.7500 0.7500
0.0000 0.0000 0.0000
0.5000 0.5000 0.5000
```



(5)
This record from Alexandria via LeMat-Bulk describes SrFeRu2 after structural relaxation. The functional is PBE.

E above lowest polymorph: 0.552 eV/atom
Magnetic moment: 1.015 μB per atom
Space group: C2/m
Formation enthalpy at 0 K: 332 kJ/mol of formula units

Cell and atoms, written as POSCAR:
```
SrFeRu2
1.0
5.2295 -0.0231 -0.0786
-2.4682 4.8899 0.0595
0.2931 0.7884 2.6794
Fe Ru Sr
1 2 1
direct
0.5000 0.5000 0.0000
0.0000 0.0000 0.0000
0.5000 0.0000 0.5000
0.0000 0.5000 0.5000
```



(6)
This record from Alexandria via LeMat-Bulk describes Sr2FeRu after structural relaxation. The functional is PBE.

E above lowest polymorph: 0.183 eV/atom
Magnetic moment: 0.897 μB per atom
Space group: P4mm
Formation enthalpy at 0 K: 150 kJ/mol of formula units

Cell and atoms, written as POSCAR:
```
Sr2FeRu
1.0
3.4753 0.2364 0.0000
-0.2387 3.4751 0.0000
0.0000 0.0000 8.9693
Fe Ru Sr
1 1 2
direct
0.0000 0.0000 0.5867
0.5000 0.5000 0.6644
0.0000 0.0000 0.9165
0.5000 0.5000 0.3323
```



(7)
This record from Alexandria via LeMat-Bulk describes Sr2FeRu after structural relaxation. The functional is PBE.

E above lowest polymorph: 0.585 eV/atom
Magnetic moment: 0.916 μB per atom
Space group: I-4m2
Formation enthalpy at 0 K: 305 kJ/mol of formula units

Cell and atoms, written as POSCAR:
```
Sr2FeRu
1.0
-0.3433 -5.0148 0.7387
2.7168 -0.8268 -4.2127
1.8326 2.9987 3.6689
Fe Ru Sr
1 1 2
direct
0.5000 0.5000 0.0000
0.7500 0.2500 0.5000
0.0000 0.0000 0.0000
0.2500 0.7500 0.5000
```



(8)
This record from Alexandria via LeMat-Bulk describes SrFeRu2 after structural relaxation. The functional is PBE.

E above lowest polymorph: 0.594 eV/atom
Magnetic moment: 0.930 μB per atom
Space group: P4/mmm
Formation enthalpy at 0 K: 348 kJ/mol of formula units

Cell and atoms, written as POSCAR:
```
SrFeRu2
1.0
3.2649 0.0000 0.0000
0.0000 4.6074 0.0000
0.0000 0.0000 4.6074
Fe Ru Sr
1 2 1
direct
0.5000 0.0000 0.5000
0.0000 0.0000 0.0000
0.0000 0.5000 0.5000
0.5000 0.5000 0.0000
```



(9)
This record from Alexandria via LeMat-Bulk describes Sr2FeRu after structural relaxation. The functional is PBE.

E above lowest polymorph: 0.804 eV/atom
Magnetic moment: 0.916 μB per atom
Space group: I-42d
Formation enthalpy at 0 K: 389 kJ/mol of formula units

Cell and atoms, written as POSCAR:
```
Sr2FeRu
1.0
8.3025 0.0000 0.0000
0.0000 8.3025 0.0000
4.1513 4.1513 3.0094
Ru Fe Sr
2 2 4
direct
0.0000 0.0000 0.0000
0.7500 0.2500 0.5000
0.5000 0.5000 0.0000
0.2500 0.7500 0.5000
0.6525 0.1250 0.2500
0.0975 0.6250 0.2500
0.3750 0.3475 0.7500
0.8750 0.9025 0.7500
```



(10)
This record from Alexandria via LeMat-Bulk describes SrFeRu2 after structural relaxation. The functional is PBE.

E above lowest polymorph: 0.437 eV/atom
Magnetic moment: 0.802 μB per atom
Space group: Imm2
Formation enthalpy at 0 K: 287 kJ/mol of formula units

Cell and atoms, written as POSCAR:
```
SrFeRu2
1.0
5.6832 -0.0368 -0.0278
2.7643 4.9658 0.0278
-3.5255 -3.6612 2.5431
Fe Ru Sr
1 2 1
direct
0.2130 0.7130 0.5000
0.0031 0.0031 0.0000
0.7842 0.2842 0.5000
0.4996 0.4996 0.0000
```



(11)
This record from Alexandria via LeMat-Bulk describes Sr3FeRu after structural relaxation. The functional is PBE.

E above lowest polymorph: 0.000 eV/atom
Magnetic moment: 0.596 μB per atom
Space group: Pm-3m
Formation enthalpy at 0 K: 376 kJ/mol of formula units

Cell and atoms, written as POSCAR:
```
Sr3FeRu
1.0
5.6610 0.0000 0.0000
0.0000 5.6610 0.0000
0.0000 0.0000 5.6610
Ru Fe Sr
1 1 3
direct
0.0000 0.0000 0.0000
0.5000 0.5000 0.5000
0.0000 0.5000 0.0000
0.0000 0.0000 0.5000
0.5000 0.0000 0.0000
```



(12)
This record from Alexandria via LeMat-Bulk describes Sr2FeRu after structural relaxation. The functional is PBE.

E above lowest polymorph: 0.615 eV/atom
Magnetic moment: 0.995 μB per atom
Space group: Fm-3m
Formation enthalpy at 0 K: 316 kJ/mol of formula units

Cell and atoms, written as POSCAR:
```
Sr2FeRu
1.0
-4.5163 1.4509 2.2183
-2.3867 4.3950 -1.5526
-4.4619 -0.2670 -2.7282
Ru Fe Sr
1 1 2
direct
0.5000 0.5000 0.5000
0.0000 0.0000 0.0000
0.2500 0.2500 0.2500
0.7500 0.7500 0.7500
```



(13)
This record from Alexandria via LeMat-Bulk describes SrFeRu2 after structural relaxation. The functional is PBE.

E above lowest polymorph: 0.207 eV/atom
Magnetic moment: 0.727 μB per atom
Space group: P4/mmm
Formation enthalpy at 0 K: 199 kJ/mol of formula units

Cell and atoms, written as POSCAR:
```
SrFeRu2
1.0
-0.6887 -1.2486 2.7497
-1.4699 -2.3251 -1.4239
6.3272 -3.8890 -0.1812
Fe Ru Sr
1 2 1
direct
0.5000 0.5000 0.7500
0.0000 0.0000 0.9281
0.0000 0.0000 0.5719
0.5000 0.5000 0.2500
```



(14)
This record from Alexandria via LeMat-Bulk describes SrFeRu2 after structural relaxation. The functional is PBE.

E above lowest polymorph: 0.478 eV/atom
Magnetic moment: 0.928 μB per atom
Space group: I4_1/amd
Formation enthalpy at 0 K: 304 kJ/mol of formula units

Cell and atoms, written as POSCAR:
```
SrFeRu2
1.0
-1.8022 0.3266 4.4392
-1.8770 -4.3984 -0.4384
5.2036 -5.3510 5.1037
Ru Fe Sr
4 2 2
direct
0.3748 0.1250 0.2500
0.3752 0.6250 0.2500
0.3750 0.6252 0.7500
0.8750 0.6248 0.7500
0.5000 0.5000 0.0000
0.2500 0.7500 0.5000
0.0000 0.0000 0.0000
0.7500 0.2500 0.5000
```



(15)
This record from Alexandria via LeMat-Bulk describes Sr2FeRu after structural relaxation. The functional is PBE.

E above lowest polymorph: 0.141 eV/atom
Magnetic moment: 0.858 μB per atom
Space group: Amm2
Formation enthalpy at 0 K: 133 kJ/mol of formula units

Cell and atoms, written as POSCAR:
```
Sr2FeRu
1.0
4.0304 0.0000 0.0000
0.0000 4.7500 -0.0032
0.0000 2.3805 5.8333
Fe Ru Sr
1 1 2
direct
0.0000 0.6760 0.5220
0.5000 0.5718 0.7320
0.0000 0.9874 0.9003
0.5000 0.2647 0.3457
```



(16)
This record from Alexandria via LeMat-Bulk describes SrFeRu3 after structural relaxation. The functional is PBE.

E above lowest polymorph: 0.000 eV/atom
Magnetic moment: 0.000 μB per atom
Space group: Pm-3m
Formation enthalpy at 0 K: 432 kJ/mol of formula units

Cell and atoms, written as POSCAR:
```
SrFeRu3
1.0
-3.7261 -0.6236 2.5333
1.8855 -3.6963 1.8635
1.8031 2.5766 3.2864
Ru Fe Sr
3 1 1
direct
0.0000 0.5000 0.0000
0.0000 0.0000 0.5000
0.5000 0.0000 0.0000
0.0000 0.0000 0.0000
0.5000 0.5000 0.5000
```



(17)
This record from Alexandria via LeMat-Bulk describes Sr2FeRu after structural relaxation. The functional is PBE.

E above lowest polymorph: 0.607 eV/atom
Magnetic moment: 0.907 μB per atom
Space group: P4/mmm
Formation enthalpy at 0 K: 313 kJ/mol of formula units

Cell and atoms, written as POSCAR:
```
Sr2FeRu
1.0
3.6046 0.0000 0.0000
0.0000 3.6046 0.0000
0.0000 0.0000 7.8319
Fe Ru Sr
1 1 2
direct
0.5000 0.5000 0.2500
0.5000 0.5000 0.7500
0.0000 0.0000 0.9819
0.0000 0.0000 0.5181
```



(18)
This record from Alexandria via LeMat-Bulk describes Sr2TlFeRu after structural relaxation. The functional is PBE.

Magnetic moment: 0.682 μB per atom
Space group: P4/mmm
Formation enthalpy at 0 K: 455 kJ/mol of formula units

Cell and atoms, written as POSCAR:
```
Sr2TlFeRu
1.0
-4.2509 1.6575 3.1140
-3.0387 -3.0225 -2.5394
1.0444 -4.0663 3.5901
Ru Tl Fe Sr
1 1 1 2
direct
0.5000 0.5000 0.5000
0.0000 0.5000 0.0000
0.0000 0.0000 0.0000
0.0000 0.0000 0.5000
0.5000 0.0000 0.0000
```



(19)
This record from Alexandria via LeMat-Bulk describes SrYFe2Ru after structural relaxation. The functional is PBE.

Magnetic moment: 0.000 μB per atom
Space group: P4/mmm
Formation enthalpy at 0 K: 520 kJ/mol of formula units

Cell and atoms, written as POSCAR:
```
SrYFe2Ru
1.0
-2.3341 -3.2644 -2.2785
3.5721 -3.4430 1.2737
-2.3433 -1.0086 3.8455
Y Ru Fe Sr
1 1 2 1
direct
0.5000 0.5000 0.5000
0.0000 0.0000 0.0000
0.0000 0.0000 0.5000
0.5000 0.0000 0.0000
0.0000 0.5000 0.0000
```



(20)
This record from Alexandria via LeMat-Bulk describes SrZnFe2Ru after structural relaxation. The functional is PBE.

Magnetic moment: 1.402 μB per atom
Space group: P4/mmm
Formation enthalpy at 0 K: 487 kJ/mol of formula units

Cell and atoms, written as POSCAR:
```
SrZnFe2Ru
1.0
4.7106 0.0000 0.0000
0.0000 5.6227 0.0000
0.0000 0.0000 4.7106
Ru Zn Fe Sr
1 1 2 1
direct
0.0000 0.0000 0.0000
0.5000 0.5000 0.5000
0.0000 0.0000 0.5000
0.5000 0.0000 0.0000
0.0000 0.5000 0.0000
```



(21)
This record from Alexandria via LeMat-Bulk describes Ta2Fe2Ru after structural relaxation. The functional is PBE.

E above lowest polymorph: 1.483 eV/atom
Magnetic moment: 0.000 μB per atom
Space group: P4/mmm
Formation enthalpy at 0 K: 686 kJ/mol of formula units

Cell and atoms, written as POSCAR:
```
Ta2Fe2Ru
1.0
-2.9275 2.6010 -1.8387
-2.9104 -3.1991 0.1082
-1.4242 1.4413 4.3064
Ru Fe Ta
1 2 2
direct
0.0000 0.0000 0.0000
0.0000 0.5000 0.0000
0.5000 0.0000 0.0000
0.5000 0.5000 0.5000
0.0000 0.0000 0.5000
```



(22)
This record from Alexandria via LeMat-Bulk describes TaFe2Ru after structural relaxation. The functional is PBE.

E above lowest polymorph: 0.000 eV/atom
Magnetic moment: 1.209 μB per atom
Space group: F-43m
Formation enthalpy at 0 K: -53 kJ/mol of formula units

Cell and atoms, written as POSCAR:
```
TaFe2Ru
1.0
4.2868 0.0000 0.0000
2.1434 3.7125 0.0000
2.1434 1.2375 3.5001
Ru Fe Ta
1 2 1
direct
0.5000 0.5000 0.5000
0.0000 0.0000 0.0000
0.2500 0.2500 0.2500
0.7500 0.7500 0.7500
```



(23)
This record from Alexandria via LeMat-Bulk describes Ta2FeRu2 after structural relaxation. The functional is PBE.

Magnetic moment: 0.000 μB per atom
Space group: P4/mbm
Formation enthalpy at 0 K: 91 kJ/mol of formula units

Cell and atoms, written as POSCAR:
```
Ta2FeRu2
1.0
-6.2928 -3.0281 1.7126
2.4418 -1.3232 6.6324
-1.0651 2.7449 0.9398
Ru Fe Ta
4 2 4
direct
0.3655 0.8655 0.0000
0.8655 0.6345 0.0000
0.6345 0.1345 0.0000
0.1345 0.3655 0.0000
0.0000 0.0000 0.0000
0.5000 0.5000 0.0000
0.1687 0.6687 0.5000
0.6687 0.8313 0.5000
0.8313 0.3313 0.5000
0.3313 0.1687 0.5000
```



(24)
This record from Alexandria via LeMat-Bulk describes TaFeRu2 after structural relaxation. The functional is PBE.

E above lowest polymorph: 0.188 eV/atom
Magnetic moment: 0.465 μB per atom
Space group: Cm
Formation enthalpy at 0 K: -2 kJ/mol of formula units

Cell and atoms, written as POSCAR:
```
TaFeRu2
1.0
4.7641 -0.0234 0.0394
3.9119 2.7192 0.0394
0.9090 0.2824 4.4582
Fe Ru Ta
1 2 1
direct
0.2566 0.2566 0.2425
0.9970 0.9970 0.9956
0.7440 0.7440 0.7700
0.5025 0.5025 0.4920
```



(25)
This record from Alexandria via LeMat-Bulk describes TaFeRu2 after structural relaxation. The functional is PBE.

E above lowest polymorph: 0.018 eV/atom
Magnetic moment: 1.064 μB per atom
Space group: P4/mmm
Formation enthalpy at 0 K: -68 kJ/mol of formula units

Cell and atoms, written as POSCAR:
```
TaFeRu2
1.0
3.1386 0.0139 0.0000
-0.0138 3.1386 0.0000
0.0000 0.0000 6.0030
Fe Ru Ta
1 2 1
direct
0.5000 0.5000 0.7500
0.0000 0.0000 0.9924
0.0000 0.0000 0.5076
0.5000 0.5000 0.2500
```



(26)
This record from Alexandria via LeMat-Bulk describes Ta3Fe2Ru3 after structural relaxation. The functional is PBE.

Magnetic moment: 0.000 μB per atom
Space group: P-62m
Formation enthalpy at 0 K: -66 kJ/mol of formula units

Cell and atoms, written as POSCAR:
```
Ta3Fe2Ru3
1.0
-1.1402 2.2916 1.5563
-3.4147 -4.3355 3.8819
6.2298 1.9109 1.7504
Ta Fe Ru
3 2 3
direct
0.5000 0.4080 0.4080
0.5000 0.5920 0.0000
0.5000 0.0000 0.5920
0.0000 0.3333 0.6667
0.0000 0.6667 0.3333
0.0000 0.7709 0.7709
0.0000 0.2291 0.0000
0.0000 0.0000 0.2291
```



(27)
This record from Alexandria via LeMat-Bulk describes TaFeRu2 after structural relaxation. The functional is PBE.

E above lowest polymorph: 0.179 eV/atom
Magnetic moment: 0.420 μB per atom
Space group: Pmm2
Formation enthalpy at 0 K: -6 kJ/mol of formula units

Cell and atoms, written as POSCAR:
```
TaFeRu2
1.0
3.7527 0.0000 0.0000
0.0000 2.7861 0.2811
0.0000 2.2423 5.7286
Fe Ru Ta
1 2 1
direct
0.5000 0.7350 0.7651
0.0000 0.0048 0.9956
0.5000 0.2665 0.2336
0.0000 0.4937 0.5057
```



(28)
This record from Alexandria via LeMat-Bulk describes TaFe2Ru after structural relaxation. The functional is PBE.

E above lowest polymorph: 0.274 eV/atom
Magnetic moment: 0.000 μB per atom
Space group: P4/mmm
Formation enthalpy at 0 K: 53 kJ/mol of formula units

Cell and atoms, written as POSCAR:
```
TaFe2Ru
1.0
-0.8923 -1.4788 -2.0887
-0.2886 -2.1398 1.6383
-6.7741 2.0292 1.4571
Fe Ru Ta
2 1 1
direct
0.0000 0.0000 0.0202
0.0000 0.0000 0.4798
0.5000 0.5000 0.2500
0.5000 0.5000 0.7500
```



(29)
This record from Alexandria via LeMat-Bulk describes Ta2Fe2Ru after structural relaxation. The functional is PBE.

E above lowest polymorph: 0.000 eV/atom
Magnetic moment: 0.257 μB per atom
Space group: Cmmm
Formation enthalpy at 0 K: -29 kJ/mol of formula units

Cell and atoms, written as POSCAR:
```
Ta2Fe2Ru
1.0
3.1444 0.0000 0.0000
0.0000 3.1283 0.5927
0.0000 0.2014 7.4885
Ta Fe Ru
2 2 1
direct
0.5000 0.3859 0.2283
0.5000 0.6141 0.7717
0.0000 0.1927 0.6145
0.0000 0.8073 0.3855
0.0000 0.0000 0.0000
```